First-principles (PBE) data for CsTaNO2 after structural relaxation, as listed in the Alexandria database.

Geometry as CIF:
```
data_CsTaNO2
_symmetry_space_group_name_H-M 'P 4/m m m'
_symmetry_Int_Tables_number 123
_symmetry_space_group_name_Hall '-P 4 2'
_cell_length_a 4.122
_cell_length_b 4.122
_cell_length_c 4.319
_cell_angle_alpha 90.00
_cell_angle_beta 90.00
_cell_angle_gamma 90.00
loop_
_atom_site_label
_atom_site_type_symbol
_atom_site_fract_x
_atom_site_fract_y
_atom_site_fract_z
Cs1 Cs 0.000 0.000 0.000
Ta1 Ta 0.500 0.500 0.500
N1 N 0.500 0.500 0.000
O1 O 0.000 0.500 0.500
```

Calculated values
For the raw formation energy, the calculation gives -1.433 eV/atom. The value obtained for the total magnetization is 1.0 μB per formula unit.

First-principles (PBE) data for CsTcN2O after structural relaxation, as listed in the Alexandria database.

Geometry as CIF:
```
data_CsTcN2O
_symmetry_space_group_name_H-M 'P 4/m m m'
_symmetry_Int_Tables_number 123
_symmetry_space_group_name_Hall '-P 4 2'
_cell_length_a 4.380
_cell_length_b 4.380
_cell_length_c 4.367
_cell_angle_alpha 90.00
_cell_angle_beta 90.00
_cell_angle_gamma 90.00
loop_
_atom_site_label
_atom_site_type_symbol
_atom_site_fract_x
_atom_site_fract_y
_atom_site_fract_z
Cs1 Cs 0.000 0.000 0.000
Tc1 Tc 0.500 0.500 0.500
N1 N 0.000 0.500 0.000
O1 O 0.000 0.000 0.500
```

Calculated values
For the raw formation energy, the calculation gives 2.737 eV/atom. The value obtained for the total magnetization is 4.5 μB per formula unit.

First-principles (PBE) data for CsTcNO2 after structural relaxation, as listed in the Alexandria database.

Geometry as CIF:
```
data_CsTcNO2
_symmetry_space_group_name_H-M 'P 4/m m m'
_symmetry_Int_Tables_number 123
_symmetry_space_group_name_Hall '-P 4 2'
_cell_length_a 4.427
_cell_length_b 4.427
_cell_length_c 4.431
_cell_angle_alpha 90.00
_cell_angle_beta 90.00
_cell_angle_gamma 90.00
loop_
_atom_site_label
_atom_site_type_symbol
_atom_site_fract_x
_atom_site_fract_y
_atom_site_fract_z
Cs1 Cs 0.000 0.000 0.000
Tc1 Tc 0.500 0.500 0.500
N1 N 0.000 0.000 0.500
O1 O 0.000 0.500 0.000
```

Calculated values
For the raw formation energy, the calculation gives 1.976 eV/atom. The value obtained for the total magnetization is 4.7 μB per formula unit.

First-principles (PBE) data for CsTcNO2 after structural relaxation, as listed in the Alexandria database.

Geometry as CIF:
```
data_CsTcNO2
_symmetry_space_group_name_H-M 'P 4/m m m'
_symmetry_Int_Tables_number 123
_symmetry_space_group_name_Hall '-P 4 2'
_cell_length_a 4.122
_cell_length_b 4.122
_cell_length_c 3.969
_cell_angle_alpha 90.00
_cell_angle_beta 90.00
_cell_angle_gamma 90.00
loop_
_atom_site_label
_atom_site_type_symbol
_atom_site_fract_x
_atom_site_fract_y
_atom_site_fract_z
Cs1 Cs 0.000 0.000 0.000
Tc1 Tc 0.500 0.500 0.500
N1 N 0.500 0.500 0.000
O1 O 0.000 0.500 0.500
```

Calculated values
For the raw formation energy, the calculation gives -0.618 eV/atom. The value obtained for the total magnetization is 0.0 μB per formula unit.

First-principles (PBE) data for CsTcN2O after structural relaxation, as listed in the Alexandria database.

Geometry as CIF:
```
data_CsTcN2O
_symmetry_space_group_name_H-M 'P 4/m m m'
_symmetry_Int_Tables_number 123
_symmetry_space_group_name_Hall '-P 4 2'
_cell_length_a 4.012
_cell_length_b 4.012
_cell_length_c 4.238
_cell_angle_alpha 90.00
_cell_angle_beta 90.00
_cell_angle_gamma 90.00
loop_
_atom_site_label
_atom_site_type_symbol
_atom_site_fract_x
_atom_site_fract_y
_atom_site_fract_z
Cs1 Cs 0.000 0.000 0.000
Tc1 Tc 0.500 0.500 0.500
N1 N 0.000 0.500 0.500
O1 O 0.500 0.500 0.000
```

Calculated values
For the raw formation energy, the calculation gives 0.081 eV/atom. The value obtained for the total magnetization is 0.0 μB per formula unit.

First-principles (PBE) data for CsTeNO2 after structural relaxation, as listed in the Alexandria database.

Geometry as CIF:
```
data_CsTeNO2
_symmetry_space_group_name_H-M 'P 4/m m m'
_symmetry_Int_Tables_number 123
_symmetry_space_group_name_Hall '-P 4 2'
_cell_length_a 4.419
_cell_length_b 4.419
_cell_length_c 4.783
_cell_angle_alpha 90.00
_cell_angle_beta 90.00
_cell_angle_gamma 90.00
loop_
_atom_site_label
_atom_site_type_symbol
_atom_site_fract_x
_atom_site_fract_y
_atom_site_fract_z
Cs1 Cs 0.000 0.000 0.000
Te1 Te 0.500 0.500 0.500
N1 N 0.000 0.000 0.500
O1 O 0.000 0.500 0.000
```

Calculated values
For the raw formation energy, the calculation gives 1.584 eV/atom. The value obtained for the total magnetization is 0.0 μB per formula unit.

First-principles (PBE) data for CsTeNO2 after structural relaxation, as listed in the Alexandria database.

Geometry as CIF:
```
data_CsTeNO2
_symmetry_space_group_name_H-M 'P 4/m m m'
_symmetry_Int_Tables_number 123
_symmetry_space_group_name_Hall '-P 4 2'
_cell_length_a 4.257
_cell_length_b 4.257
_cell_length_c 4.465
_cell_angle_alpha 90.00
_cell_angle_beta 90.00
_cell_angle_gamma 90.00
loop_
_atom_site_label
_atom_site_type_symbol
_atom_site_fract_x
_atom_site_fract_y
_atom_site_fract_z
Cs1 Cs 0.000 0.000 0.000
Te1 Te 0.500 0.500 0.500
N1 N 0.500 0.500 0.000
O1 O 0.000 0.500 0.500
```

Calculated values
For the raw formation energy, the calculation gives -0.139 eV/atom. The value obtained for the total magnetization is 1.3 μB per formula unit.

First-principles (PBE) data for CsTiNO2 after structural relaxation, as listed in the Alexandria database.

Geometry as CIF:
```
data_CsTiNO2
_symmetry_space_group_name_H-M 'P 4/m m m'
_symmetry_Int_Tables_number 123
_symmetry_space_group_name_Hall '-P 4 2'
_cell_length_a 4.361
_cell_length_b 4.361
_cell_length_c 4.597
_cell_angle_alpha 90.00
_cell_angle_beta 90.00
_cell_angle_gamma 90.00
loop_
_atom_site_label
_atom_site_type_symbol
_atom_site_fract_x
_atom_site_fract_y
_atom_site_fract_z
Cs1 Cs 0.000 0.000 0.000
Ti1 Ti 0.500 0.500 0.500
N1 N 0.000 0.000 0.500
O1 O 0.000 0.500 0.000
```

Calculated values
For the raw formation energy, the calculation gives 1.455 eV/atom. The value obtained for the total magnetization is 0.0 μB per formula unit.

Which of these has the lowest raw formation energy? CsTaNO2